1.
# ThMnTcP2

A relaxed structure of ThMnTcP2 (GGA-PBE, Alexandria via LeMat-Bulk).

Properties
E = -8.440 eV/atom
formation energy = -4.4 eV/f.u.

a = 4.0852 Å, b = 4.0852 Å, c = 9.7753 Å
α = 90.00°, β = 90.00°, γ = 90.00°
With the nearest neighbours (Å) after each atom.
Space group I-4m2 (No. 119)
One atom of each set of equivalent atoms:
Th 0.0000 0.0000 0.0000 (multiplicity 2)  4 Mn 3.19, 4 Tc 3.19, 10 P 3.19-3.54
Mn 0.0000 0.5000 0.7500 (multiplicity 2)  4 P 2.32
Tc 0.0000 0.5000 0.2500 (multiplicity 2)  4 P 2.32
P 0.0000 0.0000 0.3622 (multiplicity 4)  2 Mn 2.32, 2 Tc 2.32

=====

2.
# UMn2TcP2

A relaxed structure of UMn2TcP2 (GGA-PBE, Alexandria via LeMat-Bulk).

Properties
E = -8.988 eV/atom
formation energy = -3.1 eV/f.u.

a = 3.8768 Å, b = 6.9775 Å, c = 6.4828 Å
α = 90.00°, β = 90.00°, γ = 90.00°
With the nearest neighbours (Å) after each atom.
Space group Pmc2_1 (No. 26)
One atom of each set of equivalent atoms:
U 0.0000 0.0847 0.0000 (multiplicity 2)  5 P 2.78-2.88, 4 Mn 2.90-3.10, 4 Tc 2.98-3.00
Mn 0.0000 0.3204 0.3677 (multiplicity 2)  4 P 2.20-2.32
Mn 0.5000 0.4285 0.0450 (multiplicity 2)  3 P 2.51-2.54, 1 Tc 2.73
Tc 0.5000 0.1980 0.6696 (multiplicity 2)  4 P 2.41-2.60
P 0.0000 0.3980 0.7150 (multiplicity 2)  2 Mn 2.20-2.32, 2 Tc 2.41
P 0.5000 0.1559 0.2970 (multiplicity 2)  3 Mn 2.30-2.51, 1 Tc 2.43

=====

3.
# UMnTcP2

A relaxed structure of UMnTcP2 (GGA-PBE, Alexandria via LeMat-Bulk).

Properties
E = -9.025 eV/atom
formation energy = -3.5 eV/f.u.

a = 4.0194 Å, b = 4.0194 Å, c = 9.3701 Å
α = 90.00°, β = 90.00°, γ = 90.00°
With the nearest neighbours (Å) after each atom.
Space group I-4m2 (No. 119)
One atom of each set of equivalent atoms:
U 0.0000 0.0000 0.0000 (multiplicity 2)  8 P 3.08, 4 Mn 3.09, 4 Tc 3.09
Mn 0.0000 0.5000 0.7500 (multiplicity 2)  4 P 2.32
Tc 0.0000 0.5000 0.2500 (multiplicity 2)  4 P 2.32
P 0.0000 0.0000 0.3741 (multiplicity 4)  2 Mn 2.32, 2 Tc 2.32, 1 P 2.36

=====

4.
# MnVTcP2

A relaxed structure of MnVTcP2 (GGA-PBE, Alexandria via LeMat-Bulk).

Properties
E = -6.884 eV/atom
formation energy = 5.1 eV/f.u.

a = 4.5033 Å, b = 4.5033 Å, c = 4.7758 Å
α = 90.00°, β = 90.00°, γ = 90.00°
With the nearest neighbours (Å) after each atom.
Space group P4/mmm (No. 123)
One atom of each set of equivalent atoms:
Mn 0.0000 0.0000 0.0000 (multiplicity 1)  2 Tc 2.39
V 0.5000 0.5000 0.0000 (multiplicity 1)  4 Mn 3.18, 8 P 3.28
Tc 0.0000 0.0000 0.5000 (multiplicity 1)  4 P 2.25, 2 Mn 2.39
P 0.0000 0.5000 0.5000 (multiplicity 2)  2 Tc 2.25